No. 1
This record from Alexandria via LeMat-Bulk describes K3AgPt at its PBEsol-relaxed geometry. The functional is SCAN.

Calculated values
Total magnetic moment = 0.15 μB/f.u.
ΔH_f (0 K) = 0.4563 eV/atom

The structure in POSCAR format:
```
K3AgPt
1.0
5.8963 0.0000 0.0000
0.0000 5.8963 0.0000
0.0000 0.0000 5.8963
K Ag Pt
3 1 1
Direct
0.0000 0.0000 0.5000 K
0.0000 0.5000 0.0000 K
0.5000 0.0000 0.0000 K
0.0000 0.0000 0.0000 Ag
0.5000 0.5000 0.5000 Pt
```


No. 2
This record from Alexandria via LeMat-Bulk describes CaRh2Au at its PBEsol-relaxed geometry. The functional is SCAN.

Calculated values
Total magnetic moment = 1.18 μB/f.u.
ΔH_f (0 K) = -0.1793 eV/atom
Fermi-level density of states = 0.533 states/eV per atom

The structure in POSCAR format:
```
CaRh2Au
1.0
-2.0287 2.0287 4.0182
2.0287 -2.0287 4.0182
2.0287 2.0287 -4.0182
Ca Rh Au
1 2 1
Direct
0.0000 0.0000 0.0000 Ca
0.5000 0.5000 0.0000 Rh
0.7500 0.2500 0.5000 Rh
0.2500 0.7500 0.5000 Au
```


> Number 1 is which compound?

K3AgPt


> Which of these has the highest ΔH_f (0 K)?

K3AgPt


> Which formula does entry 2 have?

CaRh2Au